Material: VNi2Rh
Method: DFT, PBE
State: optimized geometry

Summary:
ΔE_f (eV per atom): 0.760
Total DFT energy (no corrections) (eV per cell): -24.99
Volume (Å³ per atom): 16.7

a = 4.3553 Å, b = 4.2045 Å, c = 4.2045 Å
α = 60.00°, β = 90.00°, γ = 90.00°
Site moments in Bohr magnetons follow the coordinates.
Sites, in units of the cell vectors:
Rh 0.5000 0.6667 0.6667  -0.27
Ni 0.5000 0.3333 0.3333  -0.29
V 0.0000 0.0000 0.0000  2.04
Ni 0.5000 0.0000 0.0000  -0.10